(1)
Sc4TlS6: relaxed, GGA-PBE.

POSCAR file:
```
Sc4TlS6
1.0
1.8733 -6.2403 0.0000
1.8733 6.2403 0.0000
0.0000 0.0000 19.9299
Sc Tl S
8 2 12
direct
0.0945 0.9055 0.6314
0.0945 0.9055 0.8686
0.3674 0.6326 0.5398
0.3674 0.6326 0.9602
0.6326 0.3674 0.0398
0.6326 0.3674 0.4602
0.9055 0.0945 0.1314
0.9055 0.0945 0.3686
0.1630 0.8370 0.2500
0.8370 0.1630 0.7500
0.0000 0.0000 0.0000
0.0000 0.0000 0.5000
0.1469 0.8531 0.7500
0.2721 0.7279 0.0794
0.2721 0.7279 0.4206
0.4622 0.5378 0.6491
0.4622 0.5378 0.8509
0.5378 0.4622 0.1491
0.5378 0.4622 0.3509
0.7279 0.2721 0.5794
0.7279 0.2721 0.9206
0.8531 0.1469 0.2500
```

Results
The formation energy (no corrections) comes out at -1.661 eV per atom. As for the magnetic moment: 0.000 Bohr magnetons per cell.

=====

(2)
Te2Pb: relaxed, GGA-PBE.

POSCAR file:
```
Te2Pb
1.0
5.2109 0.0000 0.0000
-2.6055 4.5128 0.0000
0.0000 0.0000 8.5498
Te Pb
4 2
direct
0.3333 0.6667 0.0443
0.3333 0.6667 0.4557
0.6667 0.3333 0.5443
0.6667 0.3333 0.9557
0.0000 0.0000 0.2500
0.0000 0.0000 0.7500
```

Results
The formation energy (no corrections) comes out at 0.137 eV per atom. As for the magnetic moment: 0.000 Bohr magnetons per cell.

=====

(3)
Mg2NpPb: relaxed, GGA-PBE.

POSCAR file:
```
Mg2NpPb
1.0
4.5846 0.0000 0.0000
0.0000 4.5846 0.0000
0.0000 0.0000 4.8634
Mg Np Pb
2 1 1
direct
0.0000 0.5000 0.0000
0.5000 0.0000 0.0000
0.0000 0.0000 0.5000
0.5000 0.5000 0.5000
```

Results
For the energy of formation from the pure elements, the calculation gives 17.16 kJ/mol of atoms. As for the magnetic moment: 4.503 Bohr magnetons per cell.

=====

(4)
TbNdCl4: relaxed, GGA-PBE.

POSCAR file:
```
TbNdCl4
1.0
3.9074 -8.2346 0.0000
3.9074 8.2346 0.0000
-3.8716 0.0000 5.5633
Tb Nd Cl
2 2 8
direct
0.0604 0.9396 0.7500
0.9396 0.0604 0.2500
0.4432 0.5568 0.2500
0.5568 0.4432 0.7500
0.0715 0.4157 0.2527
0.1627 0.3010 0.7396
0.3010 0.1627 0.2396
0.4157 0.0715 0.7527
0.5843 0.9285 0.2473
0.6990 0.8373 0.7604
0.8373 0.6990 0.2604
0.9285 0.5843 0.7473
```

Results
The formation energy (no corrections) comes out at -1.892 eV per atom. As for the magnetic moment: 0.000 Bohr magnetons per cell.

=====

(5)
PmNd9In2: relaxed, GGA-PBE.

POSCAR file:
```
PmNd9In2
1.0
5.0184 0.0000 0.0000
0.0000 5.0184 0.0000
0.0000 0.0000 15.4302
Pm Nd In
1 9 2
direct
0.0000 0.0000 0.0000
0.0000 0.5000 0.1748
0.0000 0.5000 0.5000
0.0000 0.5000 0.8252
0.5000 0.0000 0.1748
0.5000 0.0000 0.5000
0.5000 0.0000 0.8252
0.5000 0.5000 0.0000
0.5000 0.5000 0.3391
0.5000 0.5000 0.6609
0.0000 0.0000 0.3386
0.0000 0.0000 0.6614
```

Results
For the energy of formation from the pure elements, the calculation gives -16.54 kJ/mol of atoms. As for the magnetic moment: 0.000 Bohr magnetons per cell.

=====

(6)
Nd3CuSi: relaxed, GGA-PBE.

POSCAR file:
```
Nd3CuSi
1.0
4.3463 0.0000 0.0000
-2.1384 7.0537 0.0000
-0.0410 -0.3914 8.6233
Nd Cu Si
6 2 2
direct
0.0000 0.0000 0.0000
0.1062 0.2201 0.6131
0.2875 0.5770 0.9821
0.4460 0.9094 0.3899
0.6594 0.3109 0.2234
0.8185 0.6429 0.6308
0.2639 0.5257 0.3617
0.8407 0.6951 0.2503
0.4693 0.9429 0.7488
0.6369 0.2769 0.8644
```

Results
The formation energy (no corrections) comes out at -0.304 eV per atom. As for the magnetic moment: 0.122 Bohr magnetons per cell.

=====

(7)
KZnGa6: relaxed, GGA-PBE.

POSCAR file:
```
KZnGa6
1.0
4.6281 0.0000 0.0000
0.0000 4.6281 0.0000
0.0000 0.0000 7.9964
K Zn Ga
1 1 6
direct
0.0000 0.0000 0.0000
0.0000 0.0000 0.5000
0.0000 0.5000 0.3303
0.0000 0.5000 0.6697
0.5000 0.0000 0.3303
0.5000 0.0000 0.6697
0.5000 0.5000 0.1631
0.5000 0.5000 0.8369
```

Results
For the energy of formation from the pure elements, the calculation gives -10.86 kJ/mol of atoms. As for the magnetic moment: 0.000 Bohr magnetons per cell.

=====

(8)
CsBaRu2: relaxed, GGA-PBE.

POSCAR file:
```
CsBaRu2
1.0
4.9636 0.0000 0.0000
0.0000 4.9636 0.0000
0.0000 0.0000 20.3872
Cs Ba Ru
4 4 8
direct
0.0000 0.0000 0.0000
0.0000 0.5000 0.2500
0.5000 0.0000 0.7500
0.5000 0.5000 0.5000
0.0000 0.0000 0.5000
0.0000 0.5000 0.7500
0.5000 0.0000 0.2500
0.5000 0.5000 0.0000
0.0234 0.7500 0.1250
0.2500 0.0234 0.8750
0.2500 0.4766 0.3750
0.4766 0.7500 0.6250
0.5234 0.2500 0.6250
0.7500 0.5234 0.3750
0.7500 0.9766 0.8750
0.9766 0.2500 0.1250
```

Results
For the energy of formation from the pure elements, the calculation gives 137.38 kJ/mol of atoms. As for the magnetic moment: 0.001 Bohr magnetons per cell.

=====

Which of these has the highest magnetic moment?
Mg2NpPb

=====

magnetic moment of number 8 (CsBaRu2)?
0.001 Bohr magnetons per cell